A PBEsol-optimized structure of Tl2NiSeF. Source: Alexandria, functional meta-GGA SCAN.

Cell: 5.9428 5.9428 4.2035 Å, 90.00 90.00 90.00°
Space group P4/mmm (No. 123)
Unique sites:
Tl1 0.0000 0.5000 0.0000 (multiplicity 2)
Ni1 0.0000 0.0000 0.5000 (multiplicity 1)
Se1 0.0000 0.0000 0.0000 (multiplicity 1)
F1 0.5000 0.5000 0.5000 (multiplicity 1)

## Properties
- Formation energy (no corrections): -1.03 eV per formula unit
- Electronic total energy: -185.5 eV per cell
- Crystal system: tetragonal


A PBEsol-optimized structure of Zr2NiSeF. Source: Alexandria, functional meta-GGA SCAN.

Cell: 4.2143 4.2143 4.8465 Å, 90.00 90.00 90.00°
Space group P4/mmm (No. 123)
Unique sites:
Zr1 0.0000 0.5000 0.0000 (multiplicity 2)
Ni1 0.0000 0.0000 0.5000 (multiplicity 1)
Se1 0.5000 0.5000 0.5000 (multiplicity 1)
F1 0.5000 0.5000 0.0000 (multiplicity 1)

## Properties
- Formation energy (no corrections): -2.52 eV per formula unit
- Electronic total energy: -103.7 eV per cell
- Crystal system: tetragonal


A PBEsol-optimized structure of SiNi2F2. Source: Alexandria, functional meta-GGA SCAN.

Cell: 4.3677 4.3677 5.7638 Å, 90.00 90.00 90.00°
Space group I4/mmm (No. 139)
Unique sites:
Si1 0.0000 0.0000 0.0000 (multiplicity 2)
Ni1 0.0000 0.5000 0.2500 (multiplicity 4)
F1 0.0000 0.0000 0.3149 (multiplicity 4)

## Properties
- Formation energy (no corrections): -1.72 eV per formula unit
- Electronic total energy: -102.3 eV per cell
- Crystal system: tetragonal